# 1
A relaxed structure of LaNi2. Source: Alexandria, functional PBE.

Unit cell a=6.263 b=6.263 c=6.263 alpha=145.16 beta=127.40 gamma=64.65
Sites, in units of the cell vectors:
Ni (0.390, 0.390, 0.000)
Ni (0.282, 0.000, 0.282)
La (0.174, 0.674, 0.500)
Ni (0.718, 0.000, 0.718)
La (0.826, 0.326, 0.500)
Ni (0.610, 0.610, 0.000)

Summary:
Spin magnetization: 0.000 μB/f.u.
Crystal system: orthorhombic
Energy of formation: -0.23 eV per atom

***

# 2
A relaxed structure of TmNbS2. Source: Alexandria, functional PBE.

Unit cell a=3.447 b=3.447 c=8.699 alpha=78.57 beta=78.57 gamma=60.00
Sites, in units of the cell vectors:
Nb (0.500, 0.500, 0.500)
S (0.895, 0.895, 0.315)
Tm (0.000, 0.000, 0.000)
S (0.105, 0.105, 0.685)

Summary:
ΔE_f (raw): -3.5 eV/f.u.
Spin magnetization: 0.000 μB/f.u.
Crystal system: trigonal

***

# 3
A relaxed structure of Al2ZnIr. Source: Alexandria, functional PBE.

Unit cell a=3.598 b=2.961 c=6.213 alpha=61.37 beta=90.00 gamma=90.00
Sites, in units of the cell vectors:
Al (0.000, 0.507, 0.493)
Zn (0.500, 0.750, 0.750)
Al (0.000, 0.993, 0.007)
Ir (0.500, 0.250, 0.250)

Summary:
Spin magnetization: 0.000 μB/f.u.
Crystal system: monoclinic
Energy of formation: -0.46 eV per atom

***

# 4
A relaxed structure of AcInSn2. Source: Alexandria, functional PBE.

Unit cell a=4.960 b=4.894 c=4.894 alpha=90.00 beta=90.00 gamma=90.00
Sites, in units of the cell vectors:
Sn (0.000, 0.500, 0.000)
Sn (0.000, 0.000, 0.500)
Ac (0.500, 0.500, 0.500)
In (0.500, 0.000, 0.000)

Summary:
Spin magnetization: 0.000 μB/f.u.
Crystal system: tetragonal
Energy of formation: -0.49 eV per atom

***

# 5
A relaxed structure of Li3MgPb2. Source: Alexandria, functional PBE.

Unit cell a=3.204 b=4.894 c=8.293 alpha=90.00 beta=90.00 gamma=90.00
Sites, in units of the cell vectors:
Li (0.500, 0.500, 0.679)
Pb (0.000, 0.500, 0.998)
Pb (0.000, 0.000, 0.502)
Mg (0.500, 0.500, 0.333)
Li (0.500, 0.000, 0.833)
Li (0.500, 0.000, 0.156)

Summary:
Spin magnetization: 0.000 μB/f.u.
Crystal system: orthorhombic
Energy of formation: -0.20 eV per atom
Energy above the most stable polymorph in this dataset: 25 meV per atom

***

# 6
A relaxed structure of InIr2Rh. Source: Alexandria, functional PBE.

Unit cell a=3.928 b=3.928 c=4.081 alpha=90.00 beta=90.00 gamma=90.00
Sites, in units of the cell vectors:
Ir (0.500, 0.000, 0.000)
Rh (0.500, 0.500, 0.500)
In (0.000, 0.000, 0.500)
Ir (0.000, 0.500, 0.000)

Summary:
Spin magnetization: 0.000 μB/f.u.
Crystal system: tetragonal
Energy of formation: 0.05 eV per atom

***

# 7
A relaxed structure of ZrVSe2. Source: Alexandria, functional PBE.

Unit cell a=4.638 b=4.638 c=4.638 alpha=60.00 beta=60.00 gamma=60.00
Sites, in units of the cell vectors:
V (0.000, 0.000, 0.000)
Se (0.750, 0.750, 0.750)
Se (0.250, 0.250, 0.250)
Zr (0.500, 0.500, 0.500)

Summary:
ΔE_f (raw): -2.5 eV/f.u.
Spin magnetization: 1.371 μB/f.u.
Crystal system: cubic
Energy above the most stable polymorph in this dataset: 0 meV per atom

***

# 8
A relaxed structure of CeEr2Zn9. Source: Alexandria, functional PBE.

Unit cell a=5.431 b=5.431 c=9.154 alpha=72.74 beta=72.74 gamma=60.00
Sites, in units of the cell vectors:
Zn (0.587, 0.077, 0.750)
Zn (0.923, 0.413, 0.250)
Ce (0.000, 0.000, 0.000)
Er (0.141, 0.141, 0.578)
Zn (0.335, 0.335, 0.995)
Zn (0.500, 0.500, 0.500)
Zn (0.077, 0.587, 0.750)
Zn (0.413, 0.923, 0.250)
Er (0.859, 0.859, 0.422)
Zn (0.587, 0.587, 0.750)
Zn (0.413, 0.413, 0.250)
Zn (0.665, 0.665, 0.005)

Summary:
Spin magnetization: 0.533 μB/f.u.
Crystal system: trigonal
Energy of formation: -0.30 eV per atom